## TlNi17 (GGA-PBE)

Data for an optimized crystal structure of TlNi17.

Calculated values
* total energy: -5.255 eV per atom
* size of the total moment: 3.40 μB per cell
* energy above the lowest structure with this stoichiometry: 0.26 eV/f.u.

Lattice parameters (Å, degrees): 4.273 4.939 31.159 90.00 90.06 90.00
Space group Pm (No. 6)
Unique sites:
Tl 0.000 0.000 0.000 x1
Tl 0.334 0.500 0.581 x1
Ni 0.000 0.500 0.421 x1
Ni 0.001 0.000 0.226 x1
Ni 0.001 0.000 0.420 x1
Ni 0.166 0.248 0.096 x2
Ni 0.167 0.250 0.291 x2
Ni 0.167 0.252 0.485 x2
Ni 0.333 0.000 0.161 x1
Ni 0.333 0.500 0.161 x1
Ni 0.333 0.500 0.355 x1
Ni 0.334 0.000 0.355 x1
Ni 0.335 0.000 0.549 x1
Ni 0.500 0.250 0.226 x2
Ni 0.500 0.250 0.421 x2
Ni 0.501 0.256 0.032 x2
Ni 0.662 0.500 0.486 x1
Ni 0.665 0.500 0.096 x1
Ni 0.666 0.500 0.291 x1
Ni 0.667 0.000 0.290 x1
Ni 0.668 0.000 0.485 x1
Ni 0.671 0.000 0.095 x1
Ni 0.833 0.244 0.549 x2
Ni 0.833 0.250 0.161 x2
Ni 0.834 0.250 0.355 x2
Ni 0.998 0.500 0.032 x1
Ni 0.999 0.500 0.226 x1